[1]
First-principles (GGA-PBE) data for an optimized crystal structure of AlTl2BPt, as listed in the Alexandria database.

Unit cell a=5.3760 b=4.6476 c=5.3760 alpha=90.00 beta=90.00 gamma=90.00
Last column: nearest neighbours and their distance in Å.
Fractional coordinates of all 5 atoms:
B 0.5000 0.5000 0.5000  8 Tl 3.55, 4 Pt 3.80
Tl 0.0000 0.0000 0.5000  2 Al 2.69
Tl 0.5000 0.0000 0.0000  2 Al 2.69
Al 0.0000 0.0000 0.0000  2 Pt 2.32
Pt 0.0000 0.5000 0.0000  2 Al 2.32

[2]
First-principles (GGA-PBE) data for an optimized crystal structure of AlNi6Ir2, as listed in the Alexandria database.

Unit cell a=6.4166 b=6.4166 c=6.3710 alpha=91.16 beta=91.16 gamma=58.76
Last column: nearest neighbours and their distance in Å.
Fractional coordinates of all 18 atoms:
Ir 0.5180 0.2290 0.7778  8 Ni 2.41-2.65, 1 Al 2.57
Ir 0.2290 0.5180 0.2778  8 Ni 2.41-2.65, 1 Al 2.57
Ir 0.7710 0.4820 0.7222  8 Ni 2.41-2.65, 1 Al 2.57
Ir 0.4820 0.7710 0.2222  8 Ni 2.41-2.65, 1 Al 2.57
Ni 0.8713 0.7220 0.0097  5 Ni 2.41-2.61, 2 Ir 2.59-2.65
Ni 0.1287 0.2780 0.9903  5 Ni 2.41-2.61, 2 Ir 2.59-2.65
Ni 0.7107 0.3482 0.0643  5 Ni 2.40-2.53, 1 Al 2.45, 3 Ir 2.47-2.52
Ni 0.9003 0.4515 0.3443  6 Ni 2.40-2.61, 3 Ir 2.41-2.53
Ni 0.2780 0.1287 0.4903  5 Ni 2.41-2.61, 2 Ir 2.59-2.65
Ni 0.5485 0.0997 0.1557  6 Ni 2.40-2.61, 3 Ir 2.41-2.53
Ni 0.6518 0.2893 0.4357  5 Ni 2.40-2.53, 1 Al 2.45, 3 Ir 2.47-2.52
Ni 0.0997 0.5485 0.6557  6 Ni 2.40-2.61, 3 Ir 2.41-2.53
Ni 0.4515 0.9003 0.8443  6 Ni 2.40-2.61, 3 Ir 2.41-2.53
Ni 0.3482 0.7107 0.5643  5 Ni 2.40-2.53, 1 Al 2.45, 3 Ir 2.47-2.52
Ni 0.2893 0.6518 0.9357  5 Ni 2.40-2.53, 1 Al 2.45, 3 Ir 2.47-2.52
Ni 0.7220 0.8713 0.5097  5 Ni 2.41-2.61, 2 Ir 2.59-2.65
Al 0.0169 0.9831 0.2500  4 Ni 2.45-2.74, 2 Ir 2.57
Al 0.9831 0.0169 0.7500  4 Ni 2.45-2.74, 2 Ir 2.57

Energy relative to the elements for the records above, in order: 1.18, -0.02 eV/atom